Record 1
Density functional theory data (PBE-GGA) for PmHo3Tc after structural relaxation.

a b c (Å): 5.374 5.374 5.374
angles (deg): 90.00 90.00 90.00
Atoms (fractional coordinates):
Pm 0.000 0.000 0.000
Ho 0.000 0.500 0.500
Ho 0.500 0.000 0.500
Ho 0.500 0.500 0.000
Tc 0.500 0.500 0.500

Calculated values
Space-group type = Pm-3m, No. 221
Fermi-level density of states = 8.8 states/eV/f.u.
Formation energy = 0.1218 eV/atom
Crystal system = cubic
Energy relative to the lowest polymorph listed for this composition = 188 meV/atom
Total moment = 0.0066 μB/atom

Record 2
Density functional theory data (PBE-GGA) for Cs8HgAu2 after structural relaxation.

a b c (Å): 10.294 10.294 7.526
angles (deg): 96.97 96.97 111.19
Atoms (fractional coordinates):
Cs 0.059 0.333 0.594
Cs 0.243 0.757 0.000
Cs 0.333 0.059 0.594
Cs 0.370 0.370 0.211
Cs 0.630 0.630 0.789
Cs 0.667 0.941 0.406
Cs 0.757 0.243 0.000
Cs 0.941 0.667 0.406
Hg 0.000 0.000 0.000
Au 0.317 0.683 0.500
Au 0.683 0.317 0.500

Calculated values
Space-group type = C2/m, No. 12
Fermi-level density of states = 5.0 states/eV/f.u.
Formation energy = -0.1444 eV/atom
Crystal system = monoclinic
Total moment = 0.0000 μB/atom

Record 3
Density functional theory data (PBE-GGA) for La3Se3S after structural relaxation.

a b c (Å): 7.689 7.689 7.754
angles (deg): 90.05 90.05 109.53
Atoms (fractional coordinates):
La 0.069 0.069 0.281
La 0.212 0.520 0.794
La 0.480 0.788 0.206
La 0.520 0.212 0.794
La 0.788 0.480 0.206
La 0.931 0.931 0.719
Se 0.163 0.837 0.000
Se 0.221 0.779 0.500
Se 0.368 0.368 0.131
Se 0.632 0.632 0.869
Se 0.779 0.221 0.500
Se 0.837 0.163 0.000
S 0.238 0.238 0.594
S 0.762 0.762 0.406

Calculated values
Space-group type = C2/m, No. 12
Fermi-level density of states = 3.2 states/eV/f.u.
ΔE_f (raw) = -1.8396 eV/atom
Crystal system = monoclinic
Total moment = 0.0000 μB/atom

Record 4
Density functional theory data (PBE-GGA) for Ba2MgSb after structural relaxation.

a b c (Å): 9.666 9.666 9.666
angles (deg): 28.65 28.65 28.65
Atoms (fractional coordinates):
Ba 0.000 0.000 0.000
Ba 0.188 0.188 0.188
Mg 0.439 0.439 0.439
Sb 0.751 0.751 0.751

Calculated values
Space-group type = R3m, No. 160
Fermi-level density of states = 4.5 states/eV/f.u.
ΔE_f (raw) = -0.4530 eV/atom
Crystal system = trigonal
Energy relative to the lowest polymorph listed for this composition = 99 meV/atom
Total moment = 0.1057 μB/atom

Record 5
Density functional theory data (PBE-GGA) for FePt2I8 after structural relaxation.

a b c (Å): 7.893 7.893 8.236
angles (deg): 98.73 98.73 84.31
Atoms (fractional coordinates):
Fe 0.000 0.000 0.000
Pt 0.126 0.126 0.369
Pt 0.874 0.874 0.631
I 0.022 0.668 0.866
I 0.108 0.108 0.688
I 0.332 0.978 0.134
I 0.353 0.353 0.494
I 0.647 0.647 0.506
I 0.668 0.022 0.866
I 0.892 0.892 0.312
I 0.978 0.332 0.134

Calculated values
Space-group type = C2/m, No. 12
Fermi-level density of states = 9.1 states/eV/f.u.
ΔE_f (raw) = 0.0285 eV/atom
Crystal system = monoclinic
Total moment = 0.3573 μB/atom

Record 6
Density functional theory data (PBE-GGA) for ZnCuNi2 after structural relaxation.

a b c (Å): 8.907 8.907 8.907
angles (deg): 157.56 157.56 31.95
Atoms (fractional coordinates):
Zn 0.000 0.000 0.000
Zn 0.750 0.250 0.500
Cu 0.250 0.750 0.500
Cu 0.500 0.500 0.000
Ni 0.128 0.625 0.003
Ni 0.375 0.378 0.503
Ni 0.622 0.125 0.997
Ni 0.875 0.872 0.497

Calculated values
Space-group type = I-42d, No. 122
Fermi-level density of states = 4.4 states/eV/f.u.
Formation energy = 0.2575 eV/atom
Crystal system = tetragonal
Total moment = 0.0000 μB/atom